First-principles (PBE-GGA) data for a geometry-optimized HgAsPbS2 structure, as listed in Alexandria.

abc: 5.0480 5.0480 5.1921
angles: 90.00 90.00 90.00
Closest atoms and distances in Å follow each position.
Positions (direct):
Hg: 0.0000 0.0000 0.0000  4 S 2.52, 2 As 2.60
As: 0.0000 0.0000 0.5000  2 Hg 2.60
Pb: 0.5000 0.5000 0.5000  4 As 3.57, 8 S 3.62
S: 0.0000 0.5000 0.0000  2 Hg 2.52
S: 0.5000 0.0000 0.0000  2 Hg 2.52

ΔE_f (raw)	272	kJ/mol of formula units
E_tot	-2.8187	eV/atom


First-principles (PBE-GGA) data for a geometry-optimized HgAsPb2S structure, as listed in Alexandria.

abc: 5.8506 5.8506 4.7344
angles: 90.00 90.00 90.00
Closest atoms and distances in Å follow each position.
Positions (direct):
Hg: 0.0000 0.0000 0.0000  2 S 2.37
As: 0.5000 0.5000 0.5000  8 Pb 3.76, 4 S 4.14
Pb: 0.0000 0.5000 0.0000  2 Hg 2.93
Pb: 0.5000 0.0000 0.0000  2 Hg 2.93
S: 0.0000 0.0000 0.5000  2 Hg 2.37

ΔE_f (raw)	315	kJ/mol of formula units
E_tot	-2.6453	eV/atom


First-principles (PBE-GGA) data for a geometry-optimized Hg2SbAsPb4 structure, as listed in Alexandria.

abc: 7.4774 4.3509 8.1129
angles: 90.00 108.88 90.00
Closest atoms and distances in Å follow each position.
Positions (direct):
Hg: 0.0000 0.0000 0.0000  6 Pb 3.31-3.35
Hg: 0.5000 0.5000 0.0000  6 Pb 3.19-3.22
Sb: 0.0000 0.5000 0.5000  6 Pb 3.11-3.14
As: 0.5000 0.0000 0.5000  6 Pb 2.99-3.00
Pb: 0.2595 0.0000 0.7321  1 As 3.00, 2 Sb 3.11, 3 Hg 3.19-3.35
Pb: 0.2719 0.5000 0.2758  2 As 2.99, 1 Sb 3.14, 3 Hg 3.22-3.31
Pb: 0.7281 0.5000 0.7242  2 As 2.99, 1 Sb 3.14, 3 Hg 3.22-3.31
Pb: 0.7405 0.0000 0.2679  1 As 3.00, 2 Sb 3.11, 3 Hg 3.19-3.35

ΔE_f (raw)	20	kJ/mol of formula units
E_tot	-3.0001	eV/atom


First-principles (PBE-GGA) data for a geometry-optimized HgAs2PbSe structure, as listed in Alexandria.

abc: 5.1776 5.1776 5.4093
angles: 90.00 90.00 90.00
Closest atoms and distances in Å follow each position.
Positions (direct):
Hg: 0.0000 0.0000 0.0000  4 As 2.59, 2 Se 2.70
As: 0.0000 0.5000 0.0000  2 Hg 2.59
As: 0.5000 0.0000 0.0000  2 Hg 2.59
Pb: 0.5000 0.5000 0.5000  4 Se 3.66, 8 As 3.74
Se: 0.0000 0.0000 0.5000  2 Hg 2.70

ΔE_f (raw)	314	kJ/mol of formula units
E_tot	-2.7083	eV/atom
energy relative to the lowest polymorph listed for this composition	0	meV/atom


First-principles (PBE-GGA) data for a geometry-optimized SnHgAsPb structure, as listed in Alexandria.

abc: 3.9909 3.9909 9.0432
angles: 102.71 102.71 60.03
Closest atoms and distances in Å follow each position.
Positions (direct):
Sn: 0.0000 0.0000 0.0000  3 As 2.72, 1 Hg 2.89
Hg: 0.8896 0.8896 0.6699  1 Sn 2.89, 3 Pb 3.20-3.21
As: 0.7216 0.7216 0.1654  3 Sn 2.72
Pb: 0.4700 0.4700 0.4148  3 As 3.17-3.18, 3 Hg 3.20-3.21

E_tot	-3.1341	eV/atom
energy relative to the lowest polymorph listed for this composition	0	meV/atom
ΔH_f (0 K)	3	kJ per mole of atoms


First-principles (PBE-GGA) data for a geometry-optimized SnHgAsPb structure, as listed in Alexandria.

abc: 5.3106 5.3106 5.3106
angles: 60.00 60.00 60.00
Closest atoms and distances in Å follow each position.
Positions (direct):
Sn: 0.0000 0.0000 0.0000  4 As 3.25, 4 Hg 3.25
Hg: 0.2500 0.2500 0.2500  4 Sn 3.25, 4 Pb 3.25
As: 0.7500 0.7500 0.7500  4 Pb 3.25, 4 Sn 3.25
Pb: 0.5000 0.5000 0.5000  4 Hg 3.25, 4 As 3.25

E_tot	-3.0467	eV/atom
energy relative to the lowest polymorph listed for this composition	87	meV/atom
ΔH_f (0 K)	11	kJ per mole of atoms